The following is a PBEsol calculation of an optimized crystal structure of Ba2AlAs2, from Alexandria via LeMat-Bulk. Values from VASP.

Geometry as Quantum ESPRESSO input:
```
&SYSTEM
  ibrav = 0, nat = 10, ntyp = 3
/
ATOMIC_SPECIES
As 74.92 As.upf
Ba 137.33 Ba.upf
Al 26.98 Al.upf
ATOMIC_POSITIONS angstrom
As 0.000 0.885 3.004
As 0.000 4.774 0.885
As 0.000 3.004 6.893
As 0.000 6.893 4.774
Ba 2.411 5.301 6.366
Ba 2.411 2.477 1.412
Ba 2.411 6.366 2.477
Ba 2.411 1.412 5.301
Al 0.000 0.000 0.000
Al 0.000 3.889 3.889
CELL_PARAMETERS angstrom
4.823 0.000 0.000
0.000 7.778 0.000
0.000 0.000 7.778
```

Summary:
SG ... P4/mbm
DFT formation energy ... -691 meV per atom

=====

The following is a PBEsol calculation of an optimized crystal structure of Dy2OsC2, from Alexandria via LeMat-Bulk. Values from VASP.

Geometry as Quantum ESPRESSO input:
```
&SYSTEM
  ibrav = 0, nat = 20, ntyp = 3
/
ATOMIC_SPECIES
C 12.01 C.upf
Dy 162.50 Dy.upf
Os 190.23 Os.upf
ATOMIC_POSITIONS angstrom
C 0.888 -1.792 5.543
C -0.487 -1.836 8.747
C 1.093 0.843 8.016
C 1.226 -4.970 9.332
C -2.858 1.043 2.588
C -2.521 -2.136 6.376
C -1.145 -2.091 3.173
C -2.725 -4.770 3.903
Dy -4.356 -3.514 5.402
Dy -0.796 -0.375 6.802
Dy -0.837 -3.552 5.117
Dy -1.199 -0.367 1.289
Dy 2.724 -0.413 6.517
Dy -0.433 -3.560 10.630
Dy 1.383 -3.154 7.629
Dy -3.015 -0.773 4.290
Os -1.901 -2.931 8.030
Os -2.570 -3.347 2.613
Os 0.937 -0.580 9.306
Os 0.269 -0.996 3.889
CELL_PARAMETERS angstrom
-3.411 2.716 2.583
-3.316 -5.318 1.212
5.095 -1.326 8.124
```

Summary:
SG ... Pnma
DFT formation energy ... -421 meV per atom

=====

The following is a PBEsol calculation of an optimized crystal structure of InNi2Ge, from Alexandria via LeMat-Bulk. Values from VASP.

Geometry as Quantum ESPRESSO input:
```
&SYSTEM
  ibrav = 0, nat = 4, ntyp = 3
/
ATOMIC_SPECIES
In 114.82 In.upf
Ni 58.69 Ni.upf
Ge 72.64 Ge.upf
ATOMIC_POSITIONS angstrom
In 4.267 2.463 1.742
Ni 6.400 3.695 2.613
Ni 2.133 1.232 0.871
Ge 0.000 0.000 0.000
CELL_PARAMETERS angstrom
4.267 0.000 0.000
2.133 3.695 0.000
2.133 1.232 3.484
```

Summary:
SG ... Fm-3m
DFT formation energy ... -88 meV per atom

=====

The following is a PBEsol calculation of an optimized crystal structure of CaTcNO2, from Alexandria via LeMat-Bulk. Values from VASP.

Geometry as Quantum ESPRESSO input:
```
&SYSTEM
  ibrav = 0, nat = 5, ntyp = 4
/
ATOMIC_SPECIES
O 16.00 O.upf
Tc 98.00 Tc.upf
N 14.01 N.upf
Ca 40.08 Ca.upf
ATOMIC_POSITIONS angstrom
O 0.000 0.000 1.942
O 0.000 1.942 0.000
Tc 0.000 0.000 0.000
N 1.903 0.000 0.000
Ca 1.903 1.942 1.942
CELL_PARAMETERS angstrom
3.806 0.000 0.000
0.000 3.883 0.000
0.000 0.000 3.883
```

Summary:
Energy relative to the elements, uncorrected ... -151.5 kJ/mol of atoms
SG ... P4/mmm

=====

The following is a PBEsol calculation of an optimized crystal structure of Ag2Se, from Alexandria via LeMat-Bulk. Values from VASP.

Geometry as Quantum ESPRESSO input:
```
&SYSTEM
  ibrav = 0, nat = 24, ntyp = 2
/
ATOMIC_SPECIES
Ag 107.87 Ag.upf
Se 78.96 Se.upf
ATOMIC_POSITIONS angstrom
Ag -12.443 9.608 7.251
Ag -2.051 1.449 0.880
Ag -5.958 3.055 -0.140
Ag -13.021 10.536 4.376
Ag -8.920 7.638 2.615
Ag -7.487 3.953 4.428
Ag -11.588 6.851 6.189
Ag -8.341 6.710 5.490
Ag -6.155 6.502 3.337
Ag -5.140 1.744 3.922
Ag -10.252 5.090 3.706
Ag -12.167 7.779 3.314
Ag -10.256 9.400 5.098
Ag -3.258 5.344 2.381
Ag -8.065 4.881 1.553
Ag -14.354 7.988 5.467
Se -5.802 4.099 2.491
Se -10.132 8.510 7.508
Se -11.089 10.045 2.752
Se -14.706 10.390 6.314
Se -9.419 4.444 6.052
Se -13.293 5.829 4.557
Se -10.376 5.979 1.297
Se -7.215 8.660 4.248
CELL_PARAMETERS angstrom
-2.414 7.791 3.001
-7.814 3.211 -2.040
-6.179 0.590 6.083
```

Summary:
Energy relative to the elements, uncorrected ... -1.6 kJ/mol of atoms
SG ... Fd-3m

=====

The following is a PBEsol calculation of an optimized crystal structure of Ba4TaZn, from Alexandria via LeMat-Bulk. Values from VASP.

Geometry as Quantum ESPRESSO input:
```
&SYSTEM
  ibrav = 0, nat = 6, ntyp = 3
/
ATOMIC_SPECIES
Zn 65.41 Zn.upf
Ta 180.95 Ta.upf
Ba 137.33 Ba.upf
ATOMIC_POSITIONS angstrom
Zn 0.000 0.000 0.000
Ta -6.532 -8.407 6.732
Ba -3.267 -4.205 3.367
Ba -6.307 -5.737 3.735
Ba -4.418 -4.996 6.493
Ba -3.426 -7.479 4.355
CELL_PARAMETERS angstrom
-6.087 -3.068 0.737
-0.317 -6.557 1.979
-2.305 -1.584 6.260
```

Summary:
SG ... F-43m
DFT formation energy ... 1195 meV per atom

=====

The following is a PBEsol calculation of an optimized crystal structure of Na3TeOs, from Alexandria via LeMat-Bulk. Values from VASP.

Geometry as Quantum ESPRESSO input:
```
&SYSTEM
  ibrav = 0, nat = 5, ntyp = 3
/
ATOMIC_SPECIES
Te 127.60 Te.upf
Na 22.99 Na.upf
Os 190.23 Os.upf
ATOMIC_POSITIONS angstrom
Te -1.878 2.531 3.610
Na -2.697 0.182 0.590
Na 0.259 2.734 0.338
Na 0.560 -0.385 2.682
Os 0.000 0.000 0.000
CELL_PARAMETERS angstrom
-5.394 0.364 1.180
1.121 -0.770 5.364
0.517 5.467 0.677
```

Summary:
Energy relative to the elements, uncorrected ... 108.8 kJ/mol of atoms
SG ... Pm-3m

=====

The following is a PBEsol calculation of an optimized crystal structure of Y2ReP, from Alexandria via LeMat-Bulk. Values from VASP.

Geometry as Quantum ESPRESSO input:
```
&SYSTEM
  ibrav = 0, nat = 4, ntyp = 3
/
ATOMIC_SPECIES
Re 186.21 Re.upf
Y 88.91 Y.upf
P 30.97 P.upf
ATOMIC_POSITIONS angstrom
Re 0.700 -1.145 3.113
Y 1.942 1.500 3.832
Y 0.901 0.392 0.658
P 2.979 -0.809 2.367
CELL_PARAMETERS angstrom
-2.377 0.278 3.087
0.902 -3.817 1.037
3.541 3.644 2.399
```

Summary:
SG ... Amm2
DFT formation energy ... -581 meV per atom